Entry 1:
A relaxed Pu3GeS2 crystal, computed with PBE-GGA.

Cell and atoms, written as extended XYZ:
```
12
Lattice="6.096 -3.560 0.000 6.096 3.560 0.000 0.000 0.000 7.059" Properties=species:S:1:pos:R:3 pbc="T T T"
Pu 3.673 1.424 1.765
Pu 6.096 2.843 5.294
Pu 8.518 1.424 1.765
Pu 3.673 -1.424 5.294
Pu 6.096 -2.843 1.765
Pu 8.518 -1.424 5.294
Ge 6.096 0.024 5.294
Ge 6.096 -0.024 1.765
S 2.041 0.000 0.000
S 2.041 0.000 3.530
S 10.150 0.000 0.000
S 10.150 0.000 3.530
```

Computed properties:
E above lowest polymorph, meV/atom: 246.8
Energy relative to the elements, uncorrected, eV/atom: -0.9988

Entry 2:
A relaxed Dy5Tl5Ir crystal, computed with PBE-GGA.

Cell and atoms, written as extended XYZ:
```
11
Lattice="7.734 -2.719 0.000 7.734 2.719 0.000 -4.977 0.000 7.851" Properties=species:S:1:pos:R:3 pbc="T T T"
Dy 0.000 0.000 0.000
Dy 5.074 0.000 0.411
Dy 2.184 0.000 5.192
Dy 8.308 0.000 2.659
Dy 5.418 0.000 7.440
Tl -2.112 0.000 5.599
Tl 2.362 0.000 2.022
Tl 5.246 0.000 3.925
Tl 8.130 0.000 5.829
Tl 12.604 0.000 2.252
Ir 7.734 0.000 0.000
```

Computed properties:
Energy relative to the elements, eV per atom: -0.27

Entry 3:
A relaxed Tb2Y6Ho3Th crystal, computed with PBE-GGA.

Cell and atoms, written as extended XYZ:
```
12
Lattice="3.087 -5.343 0.000 3.087 5.343 0.000 -2.058 0.000 11.616" Properties=species:S:1:pos:R:3 pbc="T T T"
Tb 3.087 3.562 0.000
Tb 3.087 -3.562 0.000
Y 0.005 1.764 8.711
Y 1.053 0.000 2.905
Y 0.005 -1.764 8.711
Y 4.111 1.764 2.905
Y 3.062 0.000 8.711
Y 4.111 -1.764 2.905
Ho -1.029 0.000 5.808
Ho 2.058 1.788 5.808
Ho 2.058 -1.788 5.808
Th 3.087 0.000 0.000
```

Computed properties:
Energy relative to the elements, eV per atom: 0.03